Zr3Ga2Rh after structural relaxation. Source: Alexandria, functional PBE-GGA.

Its formation energy is -0.603 eV per atom. The calculation puts the size of the total moment at 0.0 μB per cell. As for the final energy: -170.66 eV for the cell shown. The density comes out at 7.45 g cm⁻³.

a b c (Å): 4.2755 9.7192 11.0655
angles (deg): 90.00 90.00 90.00
With the nearest neighbours (Å) after each atom.
Fractional positions:
Ga 0.2500 0.9738 0.3301  1 Rh 2.58, 3 Zr 2.81-2.88
Ga 0.7500 0.1576 0.0030  3 Rh 2.59-2.78, 2 Zr 2.85
Ga 0.2500 0.5262 0.8301  1 Rh 2.58, 3 Zr 2.81-2.88
Ga 0.2500 0.6576 0.4970  3 Rh 2.59-2.78, 2 Zr 2.85
Ga 0.7500 0.4738 0.1699  1 Rh 2.58, 3 Zr 2.81-2.88
Ga 0.7500 0.0262 0.6699  1 Rh 2.58, 3 Zr 2.81-2.88
Ga 0.2500 0.8424 0.9970  3 Rh 2.59-2.78, 2 Zr 2.85
Ga 0.7500 0.3424 0.5030  3 Rh 2.59-2.78, 2 Zr 2.85
Zr 0.2500 0.3990 0.3402  5 Ga 2.85-3.05, 3 Rh 2.87-3.11, 3 Zr 2.98-3.13
Zr 0.7500 0.3250 0.7771  2 Rh 2.86, 5 Ga 2.96-3.14, 3 Zr 2.98-3.13
Zr 0.2500 0.8250 0.7229  2 Rh 2.86, 5 Ga 2.96-3.14, 3 Zr 2.98-3.13
Zr 0.7500 0.8990 0.1598  5 Ga 2.85-3.05, 3 Rh 2.87-3.11, 3 Zr 2.98-3.13
Zr 0.7500 0.1750 0.2771  2 Rh 2.86, 5 Ga 2.96-3.14, 3 Zr 2.98-3.13
Zr 0.2500 0.6750 0.2229  2 Rh 2.86, 5 Ga 2.96-3.14, 3 Zr 2.98-3.13
Zr 0.7500 0.8547 0.4580  1 Rh 2.71, 5 Ga 2.81-2.90
Zr 0.7500 0.6010 0.6598  5 Ga 2.85-3.05, 3 Rh 2.87-3.11, 3 Zr 2.98-3.13
Zr 0.2500 0.1453 0.5420  1 Rh 2.71, 5 Ga 2.81-2.90
Zr 0.2500 0.1010 0.8402  5 Ga 2.85-3.05, 3 Rh 2.87-3.11, 3 Zr 2.98-3.13
Zr 0.7500 0.6453 0.9580  1 Rh 2.71, 5 Ga 2.81-2.90
Zr 0.2500 0.3547 0.0420  1 Rh 2.71, 5 Ga 2.81-2.90
Rh 0.2500 0.0914 0.1213  4 Ga 2.58-2.78, 5 Zr 2.71-2.87
Rh 0.7500 0.9086 0.8787  4 Ga 2.58-2.78, 5 Zr 2.71-2.87
Rh 0.2500 0.4086 0.6213  4 Ga 2.58-2.78, 5 Zr 2.71-2.87
Rh 0.7500 0.5914 0.3787  4 Ga 2.58-2.78, 5 Zr 2.71-2.87